(1)
The following is a DFT calculation (SCAN) of a crystal of BaZn4Si relaxed with PBEsol.

Output
Mass density ... 6.0 g/cm³
E ... -17.06 eV per atom
Formation energy from raw total energies ... 0.207 eV per atom

CIF file:
```
data_BaZn4Si
_cell_length_a 7.787
_cell_length_b 7.787
_cell_length_c 7.787
_cell_angle_alpha 90.00
_cell_angle_beta 90.00
_cell_angle_gamma 90.00
_space_group_name_H-M_alt 'F -4 3 m'
_space_group_IT_number 216
_space_group_name_Hall 'F -4 2 3'
loop_
_atom_site_label
_atom_site_fract_x
_atom_site_fract_y
_atom_site_fract_z
Ba1 0.000 0.000 0.000
Zn1 0.123 0.123 0.623
Si1 0.250 0.250 0.250
```

***

(2)
The following is a DFT calculation (SCAN) of a crystal of In2HgP relaxed with PBEsol.

Output
DFT formation energy ... -53 meV per atom
Mass density ... 8.3 g/cm³
E ... -36.39 eV per atom

CIF file:
```
data_In2HgP
_cell_length_a 6.730
_cell_length_b 3.886
_cell_length_c 7.389
_cell_angle_alpha 90.00
_cell_angle_beta 107.46
_cell_angle_gamma 90.00
_space_group_name_H-M_alt 'C 1 2/m 1'
_space_group_IT_number 12
loop_
_space_group_symop_operation_xyz
'x,y,z'
'-x,-y,-z'
'-x,y,-z'
'x,-y,z'
'x+1/2,y+1/2,z'
'-x+1/2,-y+1/2,-z'
'-x+1/2,y+1/2,-z'
'x+1/2,-y+1/2,z'
loop_
_atom_site_label
_atom_site_fract_x
_atom_site_fract_y
_atom_site_fract_z
In1 0.237 0.000 0.215
Hg1 0.000 0.000 0.500
P1 0.000 0.500 0.000
```

***

(3)
The following is a DFT calculation (SCAN) of a crystal of Sr2Sb2Se relaxed with PBEsol.

Output
Mass density ... 5.0 g/cm³
E ... -28.86 eV per atom
Formation energy from raw total energies ... -1.032 eV per atom

CIF file:
```
data_Sr2Sb2Se
_cell_length_a 8.155
_cell_length_b 8.155
_cell_length_c 4.944
_cell_angle_alpha 90.00
_cell_angle_beta 90.00
_cell_angle_gamma 90.00
_space_group_name_H-M_alt 'P 4/m b m'
_space_group_IT_number 127
_space_group_name_Hall '-P 4 2ab'
loop_
_atom_site_label
_atom_site_fract_x
_atom_site_fract_y
_atom_site_fract_z
Sr1 0.180 0.320 0.000
Sb1 0.118 0.618 0.500
Se1 0.000 0.000 0.000
```

***

(4)
The following is a DFT calculation (SCAN) of a crystal of MnCuRu3 relaxed with PBEsol.

Output
DFT formation energy ... 1480 meV per atom
Mass density ... 8.8 g/cm³
E ... -26.11 eV per atom

CIF file:
```
data_MnCuRu3
_cell_length_a 4.300
_cell_length_b 4.300
_cell_length_c 4.300
_cell_angle_alpha 90.00
_cell_angle_beta 90.00
_cell_angle_gamma 90.00
_space_group_name_H-M_alt 'P m -3 m'
_space_group_IT_number 221
_space_group_name_Hall '-P 4 2 3'
loop_
_atom_site_label
_atom_site_fract_x
_atom_site_fract_y
_atom_site_fract_z
Mn1 0.000 0.000 0.000
Cu1 0.500 0.500 0.500
Ru1 0.000 0.000 0.500
```

***

(5)
The following is a DFT calculation (SCAN) of a crystal of InMo2Os relaxed with PBEsol.

Output
DFT formation energy ... 216 meV per atom
Mass density ... 12.9 g/cm³
E ... -43.54 eV per atom

CIF file:
```
data_InMo2Os
_cell_length_a 2.824
_cell_length_b 4.081
_cell_length_c 5.541
_cell_angle_alpha 90.00
_cell_angle_beta 90.00
_cell_angle_gamma 90.00
_space_group_name_H-M_alt 'P m m m'
_space_group_IT_number 47
loop_
_space_group_symop_operation_xyz
'x,y,z'
'-x,-y,-z'
'-x,-y,z'
'x,y,-z'
'x,-y,-z'
'-x,y,z'
'-x,y,-z'
'x,-y,z'
loop_
_atom_site_label
_atom_site_fract_x
_atom_site_fract_y
_atom_site_fract_z
In1 0.000 0.000 0.000
Mo1 0.500 0.500 0.275
Os1 0.000 0.000 0.500
```

***

(6)
The following is a DFT calculation (SCAN) of a crystal of Ce2Te7Cl2O17 relaxed with PBEsol.

Output
Mass density ... 5.2 g/cm³
E ... -18.50 eV per atom
Formation energy from raw total energies ... -1.653 eV per atom

CIF file:
```
data_Ce2Te7Cl2O17
_cell_length_a 9.650
_cell_length_b 5.313
_cell_length_c 20.299
_cell_angle_alpha 90.00
_cell_angle_beta 112.39
_cell_angle_gamma 90.00
_space_group_name_H-M_alt 'P 1 2/c 1'
_space_group_IT_number 13
loop_
_space_group_symop_operation_xyz
'x,y,z'
'-x,-y,-z'
'-x,y,-z+1/2'
'x,-y,z+1/2'
loop_
_atom_site_label
_atom_site_fract_x
_atom_site_fract_y
_atom_site_fract_z
Ce1 0.007 0.140 0.410
Te1 0.000 0.450 0.250
Te2 0.277 0.316 0.585
Te3 0.297 0.397 0.913
Te4 0.326 0.003 0.759
Cl1 0.475 0.179 0.082
O1 0.101 0.208 0.215
O2 0.120 0.092 0.533
O3 0.142 0.167 0.902
O4 0.150 0.428 0.092
O5 0.161 0.358 0.351
O6 0.212 0.119 0.664
O7 0.236 0.397 0.480
O8 0.275 0.277 0.804
O9 0.500 0.188 0.750
```

***

(7)
The following is a DFT calculation (SCAN) of a crystal of TcAsAu2 relaxed with PBEsol.

Output
DFT formation energy ... 377 meV per atom
Mass density ... 14.5 g/cm³
E ... -48.01 eV per atom

CIF file:
```
data_TcAsAu2
_cell_length_a 3.066
_cell_length_b 4.327
_cell_length_c 4.878
_cell_angle_alpha 90.00
_cell_angle_beta 90.00
_cell_angle_gamma 90.00
_space_group_name_H-M_alt 'P m m m'
_space_group_IT_number 47
loop_
_space_group_symop_operation_xyz
'x,y,z'
'-x,-y,-z'
'-x,-y,z'
'x,y,-z'
'x,-y,-z'
'-x,y,z'
'-x,y,-z'
'x,-y,z'
loop_
_atom_site_label
_atom_site_fract_x
_atom_site_fract_y
_atom_site_fract_z
Tc1 0.000 0.000 0.000
As1 0.500 0.500 0.000
Au1 0.000 0.500 0.500
Au2 0.500 0.000 0.500
```

***

(8)
The following is a DFT calculation (SCAN) of a crystal of Te2SeCl relaxed with PBEsol.

Output
Mass density ... 6.1 g/cm³
E ... -25.46 eV per atom
Formation energy from raw total energies ... 0.179 eV per atom

CIF file:
```
data_Te2SeCl
_cell_length_a 3.774
_cell_length_b 3.774
_cell_length_c 7.011
_cell_angle_alpha 90.00
_cell_angle_beta 90.00
_cell_angle_gamma 90.00
_space_group_name_H-M_alt 'P 4/m m m'
_space_group_IT_number 123
_space_group_name_Hall '-P 4 2'
loop_
_atom_site_label
_atom_site_fract_x
_atom_site_fract_y
_atom_site_fract_z
Te1 0.000 0.000 0.200
Se1 0.500 0.500 0.000
Cl1 0.500 0.500 0.500
```

***

(9)
The following is a DFT calculation (SCAN) of a crystal of ReSb2IO relaxed with PBEsol.

Output
Mass density ... 6.8 g/cm³
E ... -36.70 eV per atom
Formation energy from raw total energies ... 1.017 eV per atom

CIF file:
```
data_ReSb2IO
_cell_length_a 5.018
_cell_length_b 5.018
_cell_length_c 5.572
_cell_angle_alpha 90.00
_cell_angle_beta 90.00
_cell_angle_gamma 90.00
_space_group_name_H-M_alt 'P 4/m m m'
_space_group_IT_number 123
_space_group_name_Hall '-P 4 2'
loop_
_atom_site_label
_atom_site_fract_x
_atom_site_fract_y
_atom_site_fract_z
Re1 0.000 0.000 0.000
Sb1 0.000 0.500 0.000
I1 0.000 0.000 0.500
O1 0.500 0.500 0.500
```

***

(10)
The following is a DFT calculation (SCAN) of a crystal of Li4Fe3Co3Ni2O16 relaxed with PBEsol.

Output
Mass density ... 5.1 g/cm³
E ... -10.46 eV per atom
Formation energy from raw total energies ... -1.610 eV per atom

CIF file:
```
data_Li4Fe3Co3Ni2O16
_cell_length_a 9.615
_cell_length_b 5.542
_cell_length_c 9.151
_cell_angle_alpha 90.00
_cell_angle_beta 90.90
_cell_angle_gamma 90.00
_space_group_name_H-M_alt 'C 1 m 1'
_space_group_IT_number 8
loop_
_space_group_symop_operation_xyz
'x,y,z'
'x,-y,z'
'x+1/2,y+1/2,z'
'x+1/2,-y+1/2,z'
loop_
_atom_site_label
_atom_site_fract_x
_atom_site_fract_y
_atom_site_fract_z
Li1 0.000 0.000 0.000
Li2 0.001 0.000 0.501
Li3 0.170 0.500 0.398
Li4 0.337 0.000 0.903
Fe1 0.090 0.262 0.717
Fe2 0.174 0.000 0.217
Co1 0.332 0.500 0.718
Co2 0.416 0.244 0.218
Ni1 0.170 0.500 0.995
Ni2 0.338 0.000 0.492
O1 0.004 0.000 0.311
O2 0.006 0.000 0.810
O3 0.023 0.500 0.847
O4 0.084 0.243 0.109
O5 0.167 0.000 0.609
O6 0.170 0.500 0.605
O7 0.244 0.279 0.841
O8 0.263 0.221 0.344
O9 0.333 0.000 0.110
O10 0.340 0.500 0.105
O11 0.423 0.253 0.609
O12 0.483 0.000 0.341
```

***

(11)
The following is a DFT calculation (SCAN) of a crystal of LiAlCd relaxed with PBEsol.

Output
DFT formation energy ... -131 meV per atom
Mass density ... 4.4 g/cm³
Polymorph energy (0 for the lowest one) ... 0.000 eV/atom
E ... -13.65 eV per atom

CIF file:
```
data_LiAlCd
_cell_length_a 4.6370
_cell_length_b 4.6370
_cell_length_c 2.9572
_cell_angle_alpha 90.00
_cell_angle_beta 90.00
_cell_angle_gamma 120.00
_space_group_name_H-M_alt 'P 3 m 1'
_space_group_IT_number 156
loop_
_space_group_symop_operation_xyz
'x,y,z'
'-y,x-y,z'
'-x+y,-x,z'
'-y,-x,z'
'-x+y,y,z'
'x,x-y,z'
loop_
_atom_site_label
_atom_site_fract_x
_atom_site_fract_y
_atom_site_fract_z
Li1 0.0000 0.0000 0.0000
Al1 0.6667 0.3333 0.4870
Cd1 0.3333 0.6667 0.5110
```

***

(12)
The following is a DFT calculation (SCAN) of a crystal of Li2MgZn relaxed with PBEsol.

Output
DFT formation energy ... -151 meV per atom
Mass density ... 2.6 g/cm³
E ... -5.97 eV per atom

CIF file:
```
data_Li2MgZn
_cell_length_a 6.446
_cell_length_b 6.446
_cell_length_c 6.446
_cell_angle_alpha 90.00
_cell_angle_beta 90.00
_cell_angle_gamma 90.00
_space_group_name_H-M_alt 'F -4 3 m'
_space_group_IT_number 216
_space_group_name_Hall 'F -4 2 3'
loop_
_atom_site_label
_atom_site_fract_x
_atom_site_fract_y
_atom_site_fract_z
Li1 0.000 0.000 0.000
Li2 0.250 0.250 0.250
Mg1 0.250 0.250 0.750
Zn1 0.000 0.000 0.500
```